# 1
Zn3CuSi: relaxed, PBE-GGA.

Cell: 4.702 4.702 4.702 Å, 90.00 90.00 90.00°
Fractional positions:
1 Zn 0.000 0.000 0.500
2 Zn 0.500 0.000 0.000
3 Zn 0.000 0.500 0.000
4 Si 0.000 0.000 0.000
5 Cu 0.500 0.500 0.500

Computed properties:
As for the volume: 103.9 Å³ per cell. The value obtained for the uncorrected formation energy is 14.933 kcal/mol of atoms. The space group is No. 221.

# 2
ZnCuSi: relaxed, PBE-GGA.

Cell: 4.289 4.289 2.642 Å, 90.00 90.00 120.00°
Fractional positions:
1 Cu 0.000 0.000 0.167
2 Zn 0.333 0.667 0.667
3 Si 0.667 0.333 0.167

Computed properties:
As for the volume: 42.1 Å³ per cell. The value obtained for the uncorrected formation energy is 4.652 kcal/mol of atoms. The space group is No. 187.

One value per record, in order, for total energy: -10.103, -10.188 eV per cell.
One value per record, in order, for relative energy among the computed polymorphs: 96.5, 147.9 meV/atom.